No. 1
The following is a PBE-GGA calculation of crystalline Dy2ErTmZn2 at its relaxed geometry, from OQMD via LeMat-Bulk.

```
Dy2ErTmZn2
1.0
-1.812 -4.844 -0.422
-4.627 1.138 6.809
-6.826 2.187 4.205
Er Tm Zn Dy
1 1 2 2
Direct
0.000 0.779 0.779
0.500 0.221 0.221
0.500 0.572 0.572
0.000 0.428 0.428
0.500 0.919 0.919
0.000 0.081 0.081
```

Properties
* E_tot: -3.70 eV per atom
* total moment: 0.00 Bohr magnetons per cell
* DFT formation energy: -0.234 eV per atom
* calculated volume: 150.23 Å³/cell

---

No. 2
The following is a PBE-GGA calculation of crystalline Ac2Dy2O5 at its relaxed geometry, from OQMD via LeMat-Bulk.

```
Ac2Dy2O5
1.0
-0.402 2.694 7.702
-4.447 0.227 -0.311
-0.317 -4.208 1.455
Ac O Dy
2 5 2
Direct
0.773 0.500 0.500
0.227 0.500 0.500
0.500 0.500 0.500
0.693 0.500 0.000
0.307 0.000 0.500
0.693 0.000 0.500
0.307 0.500 0.000
0.000 0.000 0.000
0.500 0.000 0.000
```

Properties
* E_tot: -6.76 eV per atom
* total moment: 0.01 Bohr magnetons per cell
* calculated volume: 162.77 Å³/cell

---

No. 3
The following is a PBE-GGA calculation of crystalline HfBiPO at its relaxed geometry, from OQMD via LeMat-Bulk.

```
HfBiPO
1.0
3.724 0.000 0.000
0.000 8.424 0.000
0.000 0.000 5.412
Hf P O Bi
2 2 2 2
Direct
0.500 0.362 0.937
0.500 0.638 0.437
0.500 0.335 0.435
0.500 0.665 0.935
0.000 0.721 0.435
0.000 0.279 0.935
0.000 0.905 0.947
0.000 0.095 0.447
```

Properties
* E_tot: -7.28 eV per atom
* total moment: 0.00 Bohr magnetons per cell
* calculated volume: 169.77 Å³/cell